No. 1
A plane-wave DFT calculation with PBE was carried out for crystalline SbOsI2F at its relaxed geometry.

abc: 5.4789 5.4789 4.1480
angles: 90.00 90.00 90.00
Last column: nearest neighbours and their distance in Å.
Positions (direct):
Sb: 0.0000 0.0000 0.0000  2 F 2.07
Os: 0.5000 0.5000 0.0000  8 I 3.44
I: 0.0000 0.5000 0.5000  2 F 2.74
I: 0.5000 0.0000 0.5000  2 F 2.74
F: 0.0000 0.0000 0.5000  2 Sb 2.07

SG = P4/mmm, No. 123
raw formation energy = 1.02 eV/atom
E = -15.221 eV for the cell shown
offset from the most stable computed form = 612 meV per atom
magnetization = 0.00 Bohr magnetons per cell


No. 2
A plane-wave DFT calculation with PBE was carried out for crystalline SbOsI2F at its relaxed geometry.

abc: 5.4673 5.4673 5.0325
angles: 90.00 90.00 90.00
Last column: nearest neighbours and their distance in Å.
Positions (direct):
Sb: 0.0000 0.0000 0.0000  2 Os 2.52
Os: 0.0000 0.0000 0.5000  2 Sb 2.52, 4 I 2.73
I: 0.0000 0.5000 0.5000  2 Os 2.73
I: 0.5000 0.0000 0.5000  2 Os 2.73
F: 0.5000 0.5000 0.0000  8 I 3.72, 4 Sb 3.87

SG = P4/mmm, No. 123
raw formation energy = 0.41 eV/atom
E = -18.279 eV for the cell shown
offset from the most stable computed form = 0 meV per atom
magnetization = 0.25 Bohr magnetons per cell